#A
## BaV3In (GGA-PBE)

Data for BaV3In after structural relaxation.

M_tot = 11.6 Bohr magnetons per cell
D(E_F) = 0.86 states/eV/atom
SG = Pm-3m, No. 221

Lattice parameters (Å, degrees): 5.3058 5.3058 5.3058 90.00 90.00 90.00
With the nearest neighbours (Å) after each atom.
Atoms (fractional coordinates):
1 Ba 0.0000 0.0000 0.0000  12 V 3.75
2 V 0.0000 0.5000 0.5000  2 In 2.65
3 V 0.5000 0.0000 0.5000  2 In 2.65
4 V 0.5000 0.5000 0.0000  2 In 2.65
5 In 0.5000 0.5000 0.5000  6 V 2.65



#B
## BaV3In (GGA-PBE)

Data for BaV3In after structural relaxation.

M_tot = 0.4 Bohr magnetons per cell
D(E_F) = 1.40 states/eV/atom
SG = Pm-3m, No. 221

Lattice parameters (Å, degrees): 4.8207 4.8207 4.8207 90.00 90.00 90.00
With the nearest neighbours (Å) after each atom.
Atoms (fractional coordinates):
1 Ba 0.0000 0.0000 0.0000  6 V 2.41
2 V 0.0000 0.0000 0.5000  2 Ba 2.41
3 V 0.0000 0.5000 0.0000  2 Ba 2.41
4 V 0.5000 0.0000 0.0000  2 Ba 2.41
5 In 0.5000 0.5000 0.5000  12 V 3.41



Short version: #A, #B, most stable first.



#A
## BaIn2W (GGA-PBE)

Data for BaIn2W after structural relaxation.

M_tot = 0.0 Bohr magnetons per cell
D(E_F) = 0.65 states/eV/atom
SG = Cmm2, No. 35

Lattice parameters (Å, degrees): 3.1459 3.1459 10.2987 90.00 90.00 92.84
With the nearest neighbours (Å) after each atom.
Atoms (fractional coordinates):
1 Ba 0.0000 0.0000 0.0000  4 Ba 3.15, 4 W 3.45-3.52
2 In 0.0000 0.0000 0.5444  4 W 2.95-3.04, 6 In 3.15-3.30
3 In 0.5000 0.5000 0.3026  8 In 3.15-3.38
4 W 0.5000 0.5000 0.7392  4 In 2.95-3.04, 4 W 3.15



#B
## BaIn2W (GGA-PBE)

Data for BaIn2W after structural relaxation.

M_tot = 0.2 Bohr magnetons per cell
D(E_F) = 0.71 states/eV/atom
SG = P4/mmm, No. 123

Lattice parameters (Å, degrees): 5.7104 5.7104 3.0453 90.00 90.00 90.00
With the nearest neighbours (Å) after each atom.
Atoms (fractional coordinates):
1 Ba 0.0000 0.0000 0.0000  2 Ba 3.05, 8 In 3.24
2 In 0.0000 0.5000 0.5000  2 In 3.05, 4 W 3.24, 4 Ba 3.24
3 In 0.5000 0.0000 0.5000  2 In 3.05, 4 W 3.24, 4 Ba 3.24
4 W 0.5000 0.5000 0.0000  2 W 3.05, 8 In 3.24



#C
## BaIn2W (GGA-PBE)

Data for BaIn2W after structural relaxation.

M_tot = 0.0 Bohr magnetons per cell
D(E_F) = 1.01 states/eV/atom
SG = C2/m, No. 12

Lattice parameters (Å, degrees): 5.0847 5.0847 7.1355 95.98 95.98 35.52
With the nearest neighbours (Å) after each atom.
Atoms (fractional coordinates):
1 Ba 0.0000 0.0000 0.0000  2 Ba 3.10, 2 In 3.40
2 In 0.2370 0.2370 0.6826  3 W 2.95-2.99, 4 In 3.07-3.10
3 In 0.7630 0.7630 0.3174  3 W 2.95-2.99, 4 In 3.07-3.10
4 W 0.5000 0.5000 0.5000  6 In 2.95-2.99, 2 W 3.10



Short version: #C, #A, #B, most stable first.



#A
## BaIn2W (GGA-PBE)

Data for BaIn2W after structural relaxation.

M_tot = 3.8 Bohr magnetons per cell
D(E_F) = 0.53 states/eV/atom
SG = F-43m, No. 216

Lattice parameters (Å, degrees): 5.4370 5.4370 5.4370 60.00 60.00 60.00
With the nearest neighbours (Å) after each atom.
Atoms (fractional coordinates):
1 Ba 0.0000 0.0000 0.0000  4 In 3.33, 4 W 3.33
2 In 0.2500 0.2500 0.2500  4 Ba 3.33, 4 In 3.33
3 In 0.5000 0.5000 0.5000  4 In 3.33, 4 W 3.33
4 W 0.7500 0.7500 0.7500  4 In 3.33, 4 Ba 3.33



#B
## BaIn2W (GGA-PBE)

Data for BaIn2W after structural relaxation.

M_tot = 2.9 Bohr magnetons per cell
D(E_F) = 0.83 states/eV/atom
SG = P4/mmm, No. 123

Lattice parameters (Å, degrees): 4.7549 4.7549 4.9131 90.00 90.00 90.00
With the nearest neighbours (Å) after each atom.
Atoms (fractional coordinates):
1 Ba 0.0000 0.0000 0.0000  4 W 3.36, 8 In 3.42
2 In 0.0000 0.5000 0.5000  4 In 3.36, 4 Ba 3.42, 4 W 3.42
3 In 0.5000 0.0000 0.5000  4 In 3.36, 4 Ba 3.42, 4 W 3.42
4 W 0.5000 0.5000 0.0000  4 Ba 3.36, 8 In 3.42



Short version: #B, #A, most stable first.



#A
## BaIn2W (GGA-PBE)

Data for BaIn2W after structural relaxation.

M_tot = 0.0 Bohr magnetons per cell
D(E_F) = 0.45 states/eV/atom
SG = Imm2, No. 44

Lattice parameters (Å, degrees): 8.1790 8.1790 8.1790 158.05 145.70 41.09
With the nearest neighbours (Å) after each atom.
Atoms (fractional coordinates):
1 Ba 0.0000 0.0000 0.0000  2 Ba 3.11, 2 W 3.45
2 In 0.3552 0.3552 0.0000  2 W 2.83, 2 In 3.11
3 In 0.6903 0.1903 0.5000  4 W 2.87, 2 In 3.11
4 W 0.2006 0.7006 0.5000  6 In 2.83-2.87, 2 W 3.11



#B
## BaIn2W (GGA-PBE)

Data for BaIn2W after structural relaxation.

M_tot = 0.0 Bohr magnetons per cell
D(E_F) = 1.08 states/eV/atom
SG = Immm, No. 71

Lattice parameters (Å, degrees): 6.7359 6.7359 6.7359 153.30 126.58 60.71
With the nearest neighbours (Å) after each atom.
Atoms (fractional coordinates):
1 Ba 0.0000 0.0000 0.0000  2 Ba 3.11, 4 W 3.40
2 In 0.2911 0.7911 0.5000  2 W 2.88, 2 In 3.11
3 In 0.7089 0.2089 0.5000  2 W 2.88, 2 In 3.11
4 W 0.5000 0.5000 0.0000  4 In 2.88, 2 W 3.11



Short version: #A, #B, most stable first.



#A
## BaIn2W (GGA-PBE)

Data for BaIn2W after structural relaxation.

M_tot = 0.0 Bohr magnetons per cell
D(E_F) = 0.90 states/eV/atom
SG = R-3m, No. 166

Lattice parameters (Å, degrees): 11.0086 11.0086 11.0086 16.91 16.91 16.91
With the nearest neighbours (Å) after each atom.
Atoms (fractional coordinates):
1 Ba 0.0000 0.0000 0.0000  6 Ba 3.24
2 In 0.2373 0.2373 0.2373  3 W 2.96, 6 In 3.24
3 In 0.7627 0.7627 0.7627  3 W 2.96, 6 In 3.24
4 W 0.5000 0.5000 0.5000  6 In 2.96, 6 W 3.24



#B
## BaIn2W (GGA-PBE)

Data for BaIn2W after structural relaxation.

M_tot = 0.2 Bohr magnetons per cell
D(E_F) = 1.07 states/eV/atom
SG = Cmmm, No. 65

Lattice parameters (Å, degrees): 5.7394 5.7394 3.1581 90.00 90.00 105.97
With the nearest neighbours (Å) after each atom.
Atoms (fractional coordinates):
1 Ba 0.0000 0.0000 0.0000  2 Ba 3.16, 8 In 3.28, 2 W 3.46
2 In 0.0000 0.5000 0.5000  4 In 3.16-3.46, 4 Ba 3.28, 4 W 3.28
3 In 0.5000 0.0000 0.5000  4 In 3.16-3.46, 4 Ba 3.28, 4 W 3.28
4 W 0.5000 0.5000 0.0000  2 W 3.16, 8 In 3.28, 2 Ba 3.46



Short version: #A, #B, most stable first.



#A
## BaIn2W (GGA-PBE)

Data for BaIn2W after structural relaxation.

M_tot = 3.3 Bohr magnetons per cell
D(E_F) = 0.79 states/eV/atom
SG = Fm-3m, No. 225

Lattice parameters (Å, degrees): 5.3495 5.3495 5.3495 60.00 60.00 60.00
With the nearest neighbours (Å) after each atom.
Atoms (fractional coordinates):
1 Ba 0.0000 0.0000 0.0000  8 In 3.28
2 In 0.2500 0.2500 0.2500  4 W 3.28, 4 Ba 3.28
3 In 0.7500 0.7500 0.7500  4 W 3.28, 4 Ba 3.28
4 W 0.5000 0.5000 0.5000  8 In 3.28



#B
## BaIn2W (GGA-PBE)

Data for BaIn2W after structural relaxation.

M_tot = 0.0 Bohr magnetons per cell
D(E_F) = 0.51 states/eV/atom
SG = Cm, No. 8

Lattice parameters (Å, degrees): 5.3398 5.3398 8.1607 114.40 114.40 33.99
With the nearest neighbours (Å) after each atom.
Atoms (fractional coordinates):
1 Ba 0.0000 0.0000 0.0000  2 Ba 3.12, 2 W 3.39
2 In 0.6105 0.6105 0.6572  3 W 2.77-2.88
3 In 0.8281 0.8281 0.3065  2 W 2.85, 2 In 3.12
4 W 0.3212 0.3212 0.5944  5 In 2.77-2.88



#C
## BaIn2W (GGA-PBE)

Data for BaIn2W after structural relaxation.

M_tot = 4.0 Bohr magnetons per cell
D(E_F) = 0.45 states/eV/atom
SG = I-42d, No. 122

Lattice parameters (Å, degrees): 10.1174 10.1174 10.1174 147.75 147.75 46.26
With the nearest neighbours (Å) after each atom.
Atoms (fractional coordinates):
1 Ba 0.0000 0.0000 0.0000  4 In 3.64, 4 W 3.97
2 Ba 0.7500 0.2500 0.5000  4 In 3.64, 4 W 3.97
3 In 0.3049 0.6250 0.1799  2 W 2.75, 2 In 2.92
4 In 0.3750 0.5549 0.6799  2 W 2.75, 2 In 2.92
5 In 0.4451 0.1250 0.8201  2 W 2.75, 2 In 2.92
6 In 0.8750 0.6951 0.3201  2 W 2.75, 2 In 2.92
7 W 0.2500 0.7500 0.5000  4 In 2.75
8 W 0.5000 0.5000 0.0000  4 In 2.75



Short version: #B, #A, #C, most stable first.



#A
## BaIn2W (GGA-PBE)

Data for BaIn2W after structural relaxation.

M_tot = 0.7 Bohr magnetons per cell
D(E_F) = 1.04 states/eV/atom
SG = Pmmm, No. 47

Lattice parameters (Å, degrees): 3.1094 3.7830 8.6393 90.00 90.00 90.00
With the nearest neighbours (Å) after each atom.
Atoms (fractional coordinates):
1 Ba 0.0000 0.0000 0.0000  2 Ba 3.11
2 In 0.5000 0.5000 0.3061  4 W 2.97, 2 In 3.11
3 In 0.5000 0.5000 0.6939  4 W 2.97, 2 In 3.11
4 W 0.0000 0.0000 0.5000  8 In 2.97, 2 W 3.11



#B
## BaIn2W (GGA-PBE)

Data for BaIn2W after structural relaxation.

M_tot = 1.5 Bohr magnetons per cell
D(E_F) = 1.05 states/eV/atom
SG = I-4m2, No. 119

Lattice parameters (Å, degrees): 5.8689 5.8689 5.8689 132.70 132.70 69.12
With the nearest neighbours (Å) after each atom.
Atoms (fractional coordinates):
1 Ba 0.0000 0.0000 0.0000  8 In 3.33-3.37, 4 W 3.37
2 In 0.2500 0.7500 0.5000  4 W 3.33, 4 In 3.37, 4 Ba 3.37
3 In 0.5000 0.5000 0.0000  4 Ba 3.33, 4 W 3.37, 4 In 3.37
4 W 0.7500 0.2500 0.5000  8 In 3.33-3.37, 4 Ba 3.37



#C
## BaIn2W (GGA-PBE)

Data for BaIn2W after structural relaxation.

M_tot = 0.0 Bohr magnetons per cell
D(E_F) = 1.10 states/eV/atom
SG = Pmm2, No. 25

Lattice parameters (Å, degrees): 3.2692 4.1912 8.1763 90.00 90.00 90.00
With the nearest neighbours (Å) after each atom.
Atoms (fractional coordinates):
1 Ba 0.0000 0.0000 0.0000  2 Ba 3.27, 1 In 3.46, 4 W 3.65
2 In 0.0000 0.0000 0.5773  4 W 2.82
3 In 0.5000 0.5000 0.3359  1 W 2.93, 2 In 3.27
4 W 0.5000 0.5000 0.6944  5 In 2.82-2.93



#D
## BaIn2W (GGA-PBE)

Data for BaIn2W after structural relaxation.

M_tot = 0.1 Bohr magnetons per cell
D(E_F) = 0.72 states/eV/atom
SG = Pmm2, No. 25

Lattice parameters (Å, degrees): 3.1503 4.7186 7.6648 90.00 90.00 90.00
With the nearest neighbours (Å) after each atom.
Atoms (fractional coordinates):
1 Ba 0.0000 0.0000 0.0000  2 Ba 3.15, 2 In 3.49
2 In 0.5000 0.0000 0.4056  4 W 2.84, 2 In 3.15
3 In 0.5000 0.5000 0.6976  2 W 2.86, 2 In 3.15
4 W 0.0000 0.5000 0.3856  6 In 2.84-2.86, 2 W 3.15



Short version: #A, #D, #C, #B, most stable first.



#A
## BaInW (GGA-PBE)

Data for BaInW after structural relaxation.

M_tot = 0.0 Bohr magnetons per cell
D(E_F) = 1.36 states/eV/atom
SG = P-6m2, No. 187

Lattice parameters (Å, degrees): 5.3678 5.3678 3.1126 90.00 90.00 120.00
With the nearest neighbours (Å) after each atom.
Atoms (fractional coordinates):
1 Ba 0.0000 0.0000 0.0000  2 Ba 3.11, 6 In 3.47, 6 W 3.47
2 In 0.6667 0.3333 0.5000  3 W 3.10, 2 In 3.11, 6 Ba 3.47
3 W 0.3333 0.6667 0.5000  3 In 3.10, 2 W 3.11, 6 Ba 3.47



#B
## BaInW (GGA-PBE)

Data for BaInW after structural relaxation.

M_tot = 0.0 Bohr magnetons per cell
D(E_F) = 0.97 states/eV/atom
SG = P3m1, No. 156

Lattice parameters (Å, degrees): 3.1742 3.1742 8.5625 90.00 90.00 120.00
With the nearest neighbours (Å) after each atom.
Atoms (fractional coordinates):
1 Ba 0.0000 0.0000 0.0000  6 Ba 3.17, 3 W 3.50
2 In 0.3333 0.6667 0.3770  3 W 2.99, 6 In 3.17
3 W 0.6667 0.3333 0.6522  3 In 2.99, 6 W 3.17



Short version: #B, #A, most stable first.